A relaxed DyFeAgF6 crystal, computed with GGA+U.

Properties
* calculated total energy: -5.39 eV per atom

Unit cell a=5.8024 b=5.8024 c=9.9688 alpha=90.00 beta=90.00 gamma=120.00
Space group P-31c (No. 163)
Symmetry-distinct sites (fractional):
Dy1 0.3333 0.6667 0.2500 x2
Fe1 0.3333 0.6667 0.7500 x2
Ag1 0.0000 0.0000 0.0000 x2
F1 0.0122 0.3719 0.6388 x12